Version A
Density functional theory data (PBE-GGA) for an optimized crystal structure of ErLuZr2.

Values from the calculation:
Symmetry = Fm-3m (225)
V = 26.0 Å³/atom

abc: 5.2780 5.2780 5.2780
angles: 60.00 60.00 60.00
Fractional positions:
Zr  0.2500  0.2500  0.2500
Er  0.0000  0.0000  0.0000
Lu  0.5000  0.5000  0.5000
Zr  0.7500  0.7500  0.7500


Version B
Density functional theory data (PBE-GGA) for an optimized crystal structure of ErLuZr2.

Values from the calculation:
Symmetry = P4/mmm (123)
V = 25.9 Å³/atom

abc: 3.8986 3.8986 6.8094
angles: 90.00 90.00 90.00
Fractional positions:
Lu  0.5000  0.5000  0.5000
Er  0.5000  0.5000  0.0000
Zr  0.0000  0.0000  0.7333
Zr  0.0000  0.0000  0.2667


It is version B that is most stable; the runner-up trails by 44 meV per atom.


Version A
Density functional theory data (PBE-GGA) for an optimized crystal structure of ErLuZr.

Values from the calculation:
Symmetry = P3m1 (156)
V = 27.3 Å³/atom

abc: 3.3750 3.3750 8.3040
angles: 90.00 90.00 120.00
Fractional positions:
Lu  0.3333  0.6667  0.6507
Er  0.0000  0.0000  0.0151
Zr  0.6667  0.3333  0.3342


Version B
Density functional theory data (PBE-GGA) for an optimized crystal structure of ErLuZr.

Values from the calculation:
Symmetry = I4mm (107)
V = 27.4 Å³/atom

abc: 3.3734 3.3734 7.6069
angles: 102.81 102.81 90.00
Fractional positions:
Lu  0.9895  0.9895  0.9791
Er  0.6761  0.6761  0.3522
Zr  0.3343  0.3343  0.6687


It is version B that is most stable; the runner-up trails by 10 meV per atom.


Version A
Density functional theory data (PBE-GGA) for an optimized crystal structure of ErMg4.

Values from the calculation:
Symmetry = Pm-3m (221)
V = 40.9 Å³/atom

abc: 5.8897 5.8897 5.8897
angles: 90.00 90.00 90.00
Fractional positions:
Mg  0.5000  0.5000  0.0000
Mg  0.0000  0.5000  0.5000
Mg  0.0000  0.0000  0.0000
Er  0.5000  0.5000  0.5000
Mg  0.5000  0.0000  0.5000


Version B
Density functional theory data (PBE-GGA) for an optimized crystal structure of ErMg4.

Values from the calculation:
Symmetry = I4/mmm (139)
V = 24.4 Å³/atom

abc: 3.5767 3.5767 9.8734
angles: 100.44 100.44 90.00
Site moments in Bohr magnetons follow the coordinates.
Fractional positions:
Mg  0.7976  0.7976  0.5952  0.00
Mg  0.2024  0.2024  0.4048  0.00
Er  0.0000  0.0000  0.0000  0.12
Mg  0.3900  0.3900  0.7801  0.00
Mg  0.6100  0.6100  0.2199  0.00


It is version B that is most stable; the runner-up trails by 1037 meV per atom.


Version A
Density functional theory data (PBE-GGA) for an optimized crystal structure of Er4Mg.

Values from the calculation:
Symmetry = Pm-3m (221)
V = 34.0 Å³/atom

abc: 5.5397 5.5397 5.5397
angles: 90.00 90.00 90.00
Fractional positions:
Er  0.5000  0.0000  0.5000
Mg  0.5000  0.5000  0.5000
Er  0.0000  0.5000  0.5000
Er  0.0000  0.0000  0.0000
Er  0.5000  0.5000  0.0000


Version B
Density functional theory data (PBE-GGA) for an optimized crystal structure of Er4Mg.

Values from the calculation:
Symmetry = C2/m (12)
V = 29.5 Å³/atom

abc: 3.4900 3.4903 14.5377
angles: 76.08 103.93 120.03
Fractional positions:
Er  0.5991  0.4021  0.3974
Er  0.4009  0.5979  0.6026
Mg  0.0000  0.0000  0.0000
Er  0.2028  0.7958  0.8069
Er  0.7972  0.2042  0.1931


Version C
Density functional theory data (PBE-GGA) for an optimized crystal structure of Er4Mg.

Values from the calculation:
Symmetry = I4/mmm (139)
V = 29.2 Å³/atom

abc: 3.5049 3.5049 12.1310
angles: 98.31 98.31 90.00
Fractional positions:
Er  0.4051  0.4051  0.8102
Er  0.5949  0.5949  0.1898
Er  0.1975  0.1975  0.3950
Er  0.8025  0.8025  0.6050
Mg  0.0000  0.0000  0.0000


It is version C that is most stable; the runner-up trails by 36 meV per atom.


Version A
Density functional theory data (PBE-GGA) for an optimized crystal structure of Er3Mg2.

Values from the calculation:
Symmetry = P4_2/mnm (136)
V = 28.5 Å³/atom

abc: 7.6952 8.6126 8.6126
angles: 90.00 90.00 90.00
Fractional positions:
Er  0.2500  0.5000  0.0000
Er  0.0000  0.2014  0.7986
Mg  0.6940  0.6255  0.3745
Mg  0.3060  0.6255  0.3745
Er  0.5000  0.2986  0.2986
Mg  0.1940  0.1255  0.1255
Er  0.7500  0.0000  0.5000
Er  0.5000  0.1454  0.8546
Mg  0.1940  0.8745  0.8745
Er  0.2500  0.0000  0.5000
Er  0.7500  0.5000  0.0000
Mg  0.8060  0.8745  0.8745
Er  0.0000  0.7986  0.2014
Er  0.5000  0.8546  0.1454
Mg  0.6940  0.3745  0.6255
Mg  0.8060  0.1255  0.1255
Mg  0.3060  0.3745  0.6255
Er  0.5000  0.7014  0.7014
Er  0.0000  0.6454  0.6454
Er  0.0000  0.3546  0.3546


Version B
Density functional theory data (PBE-GGA) for an optimized crystal structure of Er3Mg2.

Values from the calculation:
Symmetry = P4/mmm (123)
V = 27.7 Å³/atom

abc: 3.6050 3.6050 21.2765
angles: 90.00 90.00 90.00
Fractional positions:
Er  0.0000  0.0000  0.3109
Mg  0.5000  0.5000  0.7867
Er  0.5000  0.5000  0.0000
Er  0.0000  0.0000  0.5000
Er  0.0000  0.0000  0.1127
Mg  0.5000  0.5000  0.5946
Er  0.0000  0.0000  0.6891
Mg  0.5000  0.5000  0.2133
Mg  0.5000  0.5000  0.4054
Er  0.0000  0.0000  0.8873


It is version B that is most stable; the runner-up trails by 107 meV per atom.


Version A
Density functional theory data (PBE-GGA) for an optimized crystal structure of Er2Mg3.

Values from the calculation:
Symmetry = P4/mmm (123)
V = 25.9 Å³/atom

abc: 3.7280 3.7280 18.6248
angles: 90.00 90.00 90.00
Fractional positions:
Mg  0.0000  0.0000  0.2979
Mg  0.0000  0.0000  0.0907
Mg  0.0000  0.0000  0.5000
Er  0.5000  0.5000  0.8019
Er  0.5000  0.5000  0.1981
Mg  0.0000  0.0000  0.7021
Mg  0.5000  0.5000  0.0000
Er  0.5000  0.5000  0.6018
Mg  0.0000  0.0000  0.9093
Er  0.5000  0.5000  0.3982


Version B
Density functional theory data (PBE-GGA) for an optimized crystal structure of Er2Mg3.

Values from the calculation:
Symmetry = R-3m (166)
V = 26.7 Å³/atom

abc: 3.3484 3.3484 13.8646
angles: 83.06 83.06 60.00
Fractional positions:
Er  0.7011  0.7011  0.8968
Mg  0.8969  0.8969  0.3094
Mg  0.5000  0.5000  0.5000
Er  0.2989  0.2989  0.1032
Mg  0.1031  0.1031  0.6906


It is version A that is most stable; the runner-up trails by 86 meV per atom.


Version A
Density functional theory data (PBE-GGA) for an optimized crystal structure of NaEr2Mg.

Values from the calculation:
Symmetry = P4/mmm (123)
V = 29.8 Å³/atom

abc: 3.7098 3.7098 8.6672
angles: 90.00 90.00 90.00
Fractional positions:
Er  0.0000  0.0000  0.7918
Na  0.5000  0.5000  0.5000
Mg  0.5000  0.5000  0.0000
Er  0.0000  0.0000  0.2082


Version B
Density functional theory data (PBE-GGA) for an optimized crystal structure of NaEr2Mg.

Values from the calculation:
Symmetry = R-3m (166)
V = 30.9 Å³/atom

abc: 3.4036 3.4036 12.4589
angles: 82.15 82.15 60.00
Fractional positions:
Er  0.0949  0.0949  0.7153
Mg  0.5000  0.5000  0.5000
Na  0.0000  0.0000  0.0000
Er  0.9051  0.9051  0.2847


It is version A that is most stable; the runner-up trails by 35 meV per atom.


Version A
Density functional theory data (PBE-GGA) for an optimized crystal structure of Nd2ErMg.

Values from the calculation:
Symmetry = Cm (8)
V = 31.6 Å³/atom

abc: 3.5576 3.5576 11.7093
angles: 81.32 81.32 60.02
Fractional positions:
Nd  0.2492  0.2492  0.2529
Er  0.6671  0.6671  0.9992
Mg  0.4998  0.4998  0.5004
Nd  0.0839  0.0839  0.7475


Version B
Density functional theory data (PBE-GGA) for an optimized crystal structure of Nd2ErMg.

Values from the calculation:
Symmetry = Amm2 (38)
V = 31.9 Å³/atom

abc: 3.5612 3.4796 10.4351
angles: 99.60 90.00 90.00
Fractional positions:
Nd  0.5000  0.6873  0.3746
Nd  0.5000  0.4571  0.9142
Er  0.0000  0.3098  0.6197
Mg  0.0000  0.0712  0.1424


It is version A that is most stable; the runner-up trails by 49 meV per atom.


Version A
Density functional theory data (PBE-GGA) for an optimized crystal structure of NdEr2Mg.

Values from the calculation:
Symmetry = Cm (8)
V = 30.3 Å³/atom

abc: 3.5191 3.5191 11.5102
angles: 81.12 81.12 59.89
Fractional positions:
Er  0.2470  0.2470  0.2583
Er  0.0865  0.0865  0.7424
Nd  0.6670  0.6670  0.9993
Mg  0.4995  0.4995  0.4999


Version B
Density functional theory data (PBE-GGA) for an optimized crystal structure of NdEr2Mg.

Values from the calculation:
Symmetry = P4/mmm (123)
V = 29.9 Å³/atom

abc: 4.9809 4.9036 4.9036
angles: 90.00 90.00 90.00
Fractional positions:
Mg  0.5000  0.0000  0.0000
Er  0.0000  0.0000  0.5000
Nd  0.5000  0.5000  0.5000
Er  0.0000  0.5000  0.0000


It is version B that is most stable; the runner-up trails by 31 meV per atom.


Version A
Density functional theory data (PBE-GGA) for an optimized crystal structure of Nd4ErMg.

Values from the calculation:
Symmetry = C2/c (15)
V = 32.8 Å³/atom

abc: 8.9563 6.5822 8.5355
angles: 109.21 118.89 96.18
Fractional positions:
Er  0.6492  0.8992  0.7985
Nd  0.6332  0.3599  0.1079
Nd  0.3668  0.6401  0.8921
Nd  0.9748  0.7481  0.1079
Mg  0.5928  0.3428  0.6856
Mg  0.4072  0.6572  0.3144
Nd  0.0984  0.3668  0.3675
Er  0.3508  0.1008  0.2015
Nd  0.7691  0.0007  0.3675
Nd  0.2309  0.9993  0.6325
Nd  0.0252  0.2519  0.8921
Nd  0.9016  0.6332  0.6325


Version B
Density functional theory data (PBE-GGA) for an optimized crystal structure of Nd4ErMg.

Values from the calculation:
Symmetry = P4/mmm (123)
V = 32.6 Å³/atom

abc: 3.6787 3.6787 14.4513
angles: 90.00 90.00 90.00
Fractional positions:
Nd  0.0000  0.0000  0.6520
Mg  0.5000  0.5000  0.5000
Nd  0.5000  0.5000  0.8279
Er  0.0000  0.0000  0.0000
Nd  0.0000  0.0000  0.3480
Nd  0.5000  0.5000  0.1721


It is version B that is most stable; the runner-up trails by 82 meV per atom.


Version A
Density functional theory data (PBE-GGA) for an optimized crystal structure of NdErMg4.

Values from the calculation:
Symmetry = Immm (71)
V = 26.6 Å³/atom

abc: 5.2568 6.2296 6.2297
angles: 94.38 65.04 65.04
Fractional positions:
Nd  0.5000  0.5000  0.5000
Mg  0.2516  0.4146  0.0821
Mg  0.2510  0.0826  0.4153
Mg  0.7484  0.5854  0.9179
Er  0.0000  0.0000  0.0000
Mg  0.7490  0.9174  0.5847


Version B
Density functional theory data (PBE-GGA) for an optimized crystal structure of NdErMg4.

Values from the calculation:
Symmetry = C2/m (12)
V = 26.4 Å³/atom

abc: 3.4302 7.1587 8.6526
angles: 122.87 78.57 76.14
Site moments in Bohr magnetons follow the coordinates.
Fractional positions:
Mg  0.8439  0.4789  0.8333  0.00
Er  0.5000  0.5000  0.5000  0.04
Mg  0.1561  0.5211  0.1667  0.00
Mg  0.6682  0.0061  0.6576  0.00
Nd  0.0000  0.0000  0.0000  0.10
Mg  0.3318  0.9939  0.3424  0.00


It is version A that is most stable; the runner-up trails by 30 meV per atom.


Version A
Density functional theory data (PBE-GGA) for an optimized crystal structure of Nd2Er2Mg.

Values from the calculation:
Symmetry = I4/mmm (139)
V = 34.1 Å³/atom

abc: 4.3939 4.3939 9.3639
angles: 103.57 103.57 90.00
Fractional positions:
Nd  0.4071  0.4071  0.8142
Nd  0.5929  0.5929  0.1858
Er  0.2500  0.7500  0.5000
Mg  0.0000  0.0000  0.0000
Er  0.7500  0.2500  0.5000


Version B
Density functional theory data (PBE-GGA) for an optimized crystal structure of Nd2Er2Mg.

Values from the calculation:
Symmetry = I4/mmm (139)
V = 31.1 Å³/atom

abc: 3.6001 7.2187 13.2699
angles: 114.11 97.80 90.00
Fractional positions:
Nd  0.5948  0.6426  0.1899
Er  0.1992  0.5489  0.3983
Nd  0.5951  0.1426  0.1899
Nd  0.4049  0.8574  0.8101
Mg  0.9998  0.2500  0.0000
Er  0.8008  0.9511  0.6017
Er  0.8008  0.4511  0.6017
Mg  0.0002  0.7500  0.0000
Er  0.1992  0.0489  0.3983
Nd  0.4052  0.3574  0.8101


It is version B that is most stable; the runner-up trails by 363 meV per atom.